Record 1
Density functional theory data (PBE) for crystalline ScCuNiBi at its relaxed geometry.

Calculated values
energy: -20.0 eV per cell
total magnetization: 0.003 μB/f.u.
polymorph energy (0 for the lowest one): 130 meV/atom
SG: F-43m, No. 216
calculated density: 8.92 Mg/m³

```
ScCuNiBi
1.0
-0.689 -3.884 2.418
-3.269 -0.140 3.271
-3.840 -2.493 -0.671
Bi Cu Ni Sc
1 1 1 1
Direct
0.250 0.250 0.250
0.750 0.750 0.750
0.000 0.000 0.000
0.500 0.500 0.500
```

***

Record 2
Density functional theory data (PBE) for crystalline TaCuNiBi at its relaxed geometry.

Calculated values
energy: -23.3 eV per cell
total magnetization: 0.049 μB/f.u.
polymorph energy (0 for the lowest one): 0 meV/atom
SG: F-43m, No. 216
calculated density: 12.57 Mg/m³

```
TaCuNiBi
1.0
4.258 -0.419 1.615
1.052 1.655 4.132
0.862 -2.865 3.459
Bi Cu Ni Ta
1 1 1 1
Direct
0.000 0.000 0.000
0.750 0.750 0.750
0.250 0.250 0.250
0.500 0.500 0.500
```

***

Record 3
Density functional theory data (PBE) for crystalline TaCuNiBi at its relaxed geometry.

Calculated values
energy: -23.1 eV per cell
total magnetization: 0.003 μB/f.u.
polymorph energy (0 for the lowest one): 58 meV/atom
SG: F-43m, No. 216
calculated density: 12.35 Mg/m³

```
TaCuNiBi
1.0
-1.027 -3.007 -3.327
-4.381 -1.180 -0.762
-2.138 1.431 -3.814
Bi Cu Ni Ta
1 1 1 1
Direct
0.000 0.000 0.000
0.750 0.750 0.750
0.500 0.500 0.500
0.250 0.250 0.250
```

***

Record 4
Density functional theory data (PBE) for crystalline CuTcNiBi at its relaxed geometry.

Calculated values
energy: -21.5 eV per cell
total magnetization: 2.928 μB/f.u.
polymorph energy (0 for the lowest one): 56 meV/atom
SG: F-43m, No. 216
calculated density: 10.94 Mg/m³

```
CuTcNiBi
1.0
-0.789 -4.179 -1.521
-1.370 -3.221 2.854
-4.232 -1.562 -0.221
Bi Cu Ni Tc
1 1 1 1
Direct
0.000 0.000 0.000
0.750 0.750 0.750
0.250 0.250 0.250
0.500 0.500 0.500
```

***

Record 5
Density functional theory data (PBE) for crystalline CuTcNiBi at its relaxed geometry.

Calculated values
energy: -21.7 eV per cell
total magnetization: 0.002 μB/f.u.
polymorph energy (0 for the lowest one): 0 meV/atom
SG: F-43m, No. 216
calculated density: 11.30 Mg/m³

```
CuTcNiBi
1.0
-3.814 1.698 1.590
-2.947 1.870 -2.789
-3.881 -2.044 -0.849
Bi Cu Ni Tc
1 1 1 1
Direct
0.000 0.000 0.000
0.750 0.750 0.750
0.500 0.500 0.500
0.250 0.250 0.250
```

***

Record 6
Density functional theory data (PBE) for crystalline CuNiBiW at its relaxed geometry.

Calculated values
energy: -23.1 eV per cell
total magnetization: 1.162 μB/f.u.
polymorph energy (0 for the lowest one): 0 meV/atom
SG: F-43m, No. 216
calculated density: 12.91 Mg/m³

```
CuNiBiW
1.0
0.000 3.211 3.211
3.211 0.000 3.211
3.211 3.211 0.000
Bi Cu Ni W
1 1 1 1
Direct
0.000 0.000 0.000
0.750 0.750 0.750
0.500 0.500 0.500
0.250 0.250 0.250
```